The following is a GGA-PBE calculation of LiHoPd5 after structural relaxation, from Alexandria via LeMat-Bulk.

Structure (POSCAR):
```
LiHoPd5
1.0
4.1568 0.0000 0.0000
0.0000 4.1568 0.0000
0.0000 0.0000 6.7994
Ho Li Pd
1 1 5
Cartesian
0.0000 0.0000 3.3997
2.0784 2.0784 0.0000
2.0784 0.0000 1.4190
2.0784 0.0000 5.3804
2.0784 2.0784 3.3997
0.0000 2.0784 1.4190
0.0000 2.0784 5.3804
```

Properties
Its energy of formation from the pure elements is -0.4738 eV/atom. The total magnetization is 0.0 μB/cell. As for the symmetry: P4/mmm (123). Its total energy is -5.110 eV per atom.